Version a
Computed, not measured: crystalline MoPdIN2 at its relaxed geometry at the PBE-GGA level of DFT.

POSCAR file:
```
MoPdIN2
1.0
3.901 0.000 0.000
0.000 3.901 0.000
0.000 0.000 5.944
Mo Pd I N
1 1 1 2
Direct
0.000 0.000 0.000 Mo
0.500 0.500 0.500 Pd
0.000 0.000 0.500 I
0.000 0.500 0.000 N
0.500 0.000 0.000 N
```

SG: P4/mmm
Calculated volume: 18.1 Å³ per atom

---

Version b
Computed, not measured: crystalline MoPdIN2 at its relaxed geometry at the PBE-GGA level of DFT.

POSCAR file:
```
MoPdIN2
1.0
4.061 0.000 0.000
0.000 4.061 0.000
0.000 0.000 6.034
Mo Pd I N
1 1 1 2
Direct
0.000 0.000 0.000 Mo
0.500 0.500 0.500 Pd
0.500 0.500 0.000 I
0.000 0.500 0.500 N
0.500 0.000 0.500 N
```

SG: P4/mmm
Calculated volume: 19.9 Å³ per atom

---

Which structure is the least stable? The one labeled version b.

---

Version a
Computed, not measured: crystalline RbMoIN2 at its relaxed geometry at the PBE-GGA level of DFT.

POSCAR file:
```
RbMoIN2
1.0
4.296 0.000 0.000
0.000 4.296 0.000
0.000 0.000 6.227
Rb Mo I N
1 1 1 2
Direct
0.000 0.000 0.000 Rb
0.500 0.500 0.500 Mo
0.000 0.000 0.500 I
0.000 0.500 0.000 N
0.500 0.000 0.000 N
```

SG: P4/mmm
Calculated volume: 23.0 Å³ per atom

---

Version b
Computed, not measured: crystalline RbMoIN2 at its relaxed geometry at the PBE-GGA level of DFT.

POSCAR file:
```
RbMoIN2
1.0
4.214 0.000 0.000
0.000 4.214 0.000
0.000 0.000 5.708
Rb Mo I N
1 1 1 2
Direct
0.000 0.000 0.000 Rb
0.500 0.500 0.500 Mo
0.500 0.500 0.000 I
0.000 0.500 0.500 N
0.500 0.000 0.500 N
```

SG: P4/mmm
Calculated volume: 20.3 Å³ per atom

---

Which structure is the least stable? The one labeled version a.

---

Version a
Computed, not measured: crystalline ReMoIN2 at its relaxed geometry at the PBE-GGA level of DFT.

POSCAR file:
```
ReMoIN2
1.0
3.950 0.000 0.000
0.000 3.950 0.000
0.000 0.000 5.800
Re Mo I N
1 1 1 2
Direct
0.000 0.000 0.000 Re
0.500 0.500 0.500 Mo
0.500 0.500 0.000 I
0.000 0.500 0.500 N
0.500 0.000 0.500 N
```

SG: P4/mmm
Calculated volume: 18.1 Å³ per atom

---

Version b
Computed, not measured: crystalline ReMoIN2 at its relaxed geometry at the PBE-GGA level of DFT.

POSCAR file:
```
ReMoIN2
1.0
3.924 0.000 0.000
0.000 3.924 0.000
0.000 0.000 5.803
Re Mo I N
1 1 1 2
Direct
0.000 0.000 0.000 Re
0.500 0.500 0.500 Mo
0.000 0.000 0.500 I
0.000 0.500 0.000 N
0.500 0.000 0.000 N
```

SG: P4/mmm
Calculated volume: 17.9 Å³ per atom

---

Which structure is the least stable? The one labeled version a.

---

Version a
Computed, not measured: crystalline MoRhIN2 at its relaxed geometry at the PBE-GGA level of DFT.

POSCAR file:
```
MoRhIN2
1.0
3.892 0.000 0.000
0.000 3.892 0.000
0.000 0.000 5.875
Mo Rh I N
1 1 1 2
Direct
0.000 0.000 0.000 Mo
0.500 0.500 0.500 Rh
0.000 0.000 0.500 I
0.000 0.500 0.000 N
0.500 0.000 0.000 N
```

SG: P4/mmm
Calculated volume: 17.8 Å³ per atom

---

Version b
Computed, not measured: crystalline MoRhIN2 at its relaxed geometry at the PBE-GGA level of DFT.

POSCAR file:
```
MoRhIN2
1.0
3.859 0.000 0.000
0.000 3.859 0.000
0.000 0.000 7.464
Mo Rh I N
1 1 1 2
Direct
0.000 0.000 0.000 Mo
0.500 0.500 0.500 Rh
0.500 0.500 0.000 I
0.000 0.500 0.500 N
0.500 0.000 0.500 N
```

SG: P4/mmm
Calculated volume: 22.2 Å³ per atom

---

Which structure is the least stable? The one labeled version b.

---

Version a
Computed, not measured: crystalline MoS2IN at its relaxed geometry at the PBE-GGA level of DFT.

POSCAR file:
```
MoS2IN
1.0
4.921 0.000 0.000
0.000 4.921 0.000
0.000 0.000 3.858
Mo S I N
1 2 1 1
Direct
0.000 0.000 0.000 Mo
0.000 0.500 0.000 S
0.500 0.000 0.000 S
0.500 0.500 0.500 I
0.000 0.000 0.500 N
```

SG: P4/mmm
Calculated volume: 18.7 Å³ per atom

---

Version b
Computed, not measured: crystalline MoS2IN at its relaxed geometry at the PBE-GGA level of DFT.

POSCAR file:
```
MoS2IN
1.0
5.187 0.000 0.000
0.000 5.187 0.000
0.000 0.000 3.889
Mo S I N
1 2 1 1
Direct
0.000 0.000 0.000 Mo
0.000 0.500 0.500 S
0.500 0.000 0.500 S
0.500 0.500 0.500 I
0.500 0.500 0.000 N
```

SG: P4/mmm
Calculated volume: 20.9 Å³ per atom

---

Which structure is the least stable? The one labeled version b.

---

Version a
Computed, not measured: crystalline MoSI2N at its relaxed geometry at the PBE-GGA level of DFT.

POSCAR file:
```
MoSI2N
1.0
5.493 0.000 0.000
0.000 5.493 0.000
0.000 0.000 3.826
Mo S I N
1 1 2 1
Direct
0.000 0.000 0.000 Mo
0.500 0.500 0.500 S
0.000 0.500 0.000 I
0.500 0.000 0.000 I
0.000 0.000 0.500 N
```

SG: P4/mmm
Calculated volume: 23.1 Å³ per atom

---

Version b
Computed, not measured: crystalline MoSI2N at its relaxed geometry at the PBE-GGA level of DFT.

POSCAR file:
```
MoSI2N
1.0
5.862 0.000 0.000
0.000 5.862 0.000
0.000 0.000 3.404
Mo S I N
1 1 2 1
Direct
0.000 0.000 0.000 Mo
0.500 0.500 0.500 S
0.000 0.500 0.500 I
0.500 0.000 0.500 I
0.500 0.500 0.000 N
```

SG: P4/mmm
Calculated volume: 23.4 Å³ per atom

---

Which structure is the least stable? The one labeled version b.

---

Version a
Computed, not measured: crystalline MoSIN2 at its relaxed geometry at the PBE-GGA level of DFT.

POSCAR file:
```
MoSIN2
1.0
3.755 0.000 0.000
0.000 3.755 0.000
0.000 0.000 6.639
Mo S I N
1 1 1 2
Direct
0.000 0.000 0.000 Mo
0.500 0.500 0.500 S
0.500 0.500 0.000 I
0.000 0.500 0.500 N
0.500 0.000 0.500 N
```

SG: P4/mmm
Calculated volume: 18.7 Å³ per atom

---

Version b
Computed, not measured: crystalline MoSIN2 at its relaxed geometry at the PBE-GGA level of DFT.

POSCAR file:
```
MoSIN2
1.0
3.909 0.000 0.000
0.000 3.909 0.000
0.000 0.000 5.963
Mo S I N
1 1 1 2
Direct
0.000 0.000 0.000 Mo
0.500 0.500 0.500 S
0.000 0.000 0.500 I
0.000 0.500 0.000 N
0.500 0.000 0.000 N
```

SG: P4/mmm
Calculated volume: 18.2 Å³ per atom

---

Which structure is the least stable? The one labeled version a.

---

Version a
Computed, not measured: crystalline MoSIN2 at its relaxed geometry at the PBE-GGA level of DFT.

POSCAR file:
```
MoSIN2
1.0
3.889 0.000 0.000
0.000 3.889 0.000
0.000 0.000 6.326
Mo S I N
1 1 1 2
Direct
0.000 0.000 0.000 Mo
0.500 0.500 0.000 S
0.500 0.500 0.500 I
0.000 0.500 0.500 N
0.500 0.000 0.500 N
```

SG: P4/mmm
Calculated volume: 19.1 Å³ per atom

---

Version b
Computed, not measured: crystalline MoSIN2 at its relaxed geometry at the PBE-GGA level of DFT.

POSCAR file:
```
MoSIN2
1.0
3.965 0.000 0.000
0.000 3.965 0.000
0.000 0.000 5.379
Mo S I N
1 1 1 2
Direct
0.000 0.000 0.000 Mo
0.000 0.000 0.500 S
0.500 0.500 0.500 I
0.000 0.500 0.000 N
0.500 0.000 0.000 N
```

SG: P4/mmm
Calculated volume: 16.9 Å³ per atom

---

Which structure is the least stable? The one labeled version a.